Below is an optimized crystal structure of VTcW4, with properties calculated at the GGA-PBE level.

E_tot = -11.94 eV/atom
space-group type = No. 12
magnetization = 0.00 μB/f.u.
ΔH_f (0 K) = -0.06 eV per atom
DOS(E_F) = 3.2 states/eV/f.u.

```
VTcW4
1.0
4.963 -1.569 0.000
4.963 1.569 0.000
-2.003 0.000 5.956
V Tc W
1 1 4
Direct
0.000 0.000 0.000
0.000 0.000 0.500
0.333 0.333 0.669
0.336 0.336 0.165
0.664 0.664 0.835
0.667 0.667 0.331
```